The following is a DFT calculation (PBE) of an optimized crystal structure of Ni4C3.

Cell lengths 5.570, 5.570, 5.570 Å; angles 109.47, 109.47, 109.47 degrees
Element x y z (fractional)
Ni (0.000, 0.451, 0.500)
Ni (0.000, 0.951, 0.500)
Ni (0.049, 0.049, 0.049)
Ni (0.451, 0.500, 0.000)
Ni (0.500, 0.000, 0.451)
Ni (0.500, 0.000, 0.951)
Ni (0.549, 0.549, 0.549)
Ni (0.951, 0.500, 0.000)
C (0.125, 0.750, 0.875)
C (0.250, 0.625, 0.375)
C (0.375, 0.250, 0.625)
C (0.625, 0.375, 0.250)
C (0.750, 0.875, 0.125)
C (0.875, 0.125, 0.750)

Summary:
The value obtained for the volume is 66.51 Å³/f.u. The value obtained for the total energy is -0.4687 Ry per atom.

The following is a DFT calculation (PBE) of an optimized crystal structure of ZrAs.

Cell lengths 5.360, 8.513, 8.513 Å; angles 142.73, 90.00, 90.00 degrees
Element x y z (fractional)
Zr (0.000, 0.000, 0.000)
Zr (0.000, 0.384, 0.734)
Zr (0.000, 0.734, 0.384)
Zr (0.500, 0.217, 0.888)
Zr (0.500, 0.888, 0.217)
As (0.000, 0.224, 0.897)
As (0.000, 0.897, 0.224)
As (0.500, 0.043, 0.043)
As (0.500, 0.398, 0.708)
As (0.500, 0.708, 0.398)

Summary:
The value obtained for the volume is 47.05 Å³/f.u. The value obtained for the total energy is -0.5440 Ry per atom.

The following is a DFT calculation (PBE) of an optimized crystal structure of Dy2In.

Cell lengths 8.910, 8.910, 3.705 Å; angles 90.00, 90.00, 120.00 degrees
Element x y z (fractional)
Dy (0.000, 0.378, 0.000)
Dy (0.000, 0.709, 0.500)
Dy (0.291, 0.291, 0.500)
Dy (0.378, 0.000, 0.000)
Dy (0.622, 0.622, 0.000)
Dy (0.709, 0.000, 0.500)
In (0.000, 0.000, 0.000)
In (0.333, 0.667, 0.500)
In (0.667, 0.333, 0.500)

Summary:
The value obtained for the volume is 84.90 Å³/f.u. The value obtained for the total energy is -0.3158 Ry per atom.

The following is a DFT calculation (PBE) of an optimized crystal structure of NaHoHgSe3.

Cell lengths 13.903, 4.161, 11.302 Å; angles 90.00, 90.00, 90.00 degrees
Element x y z (fractional)
Na (0.240, 0.250, 0.091)
Na (0.260, 0.750, 0.591)
Na (0.740, 0.250, 0.409)
Na (0.760, 0.750, 0.909)
Ho (0.019, 0.250, 0.346)
Ho (0.481, 0.750, 0.846)
Ho (0.519, 0.250, 0.154)
Ho (0.981, 0.750, 0.654)
Hg (0.010, 0.750, 0.104)
Hg (0.490, 0.250, 0.604)
Hg (0.510, 0.750, 0.396)
Hg (0.990, 0.250, 0.896)
Se (0.105, 0.250, 0.571)
Se (0.113, 0.750, 0.875)
Se (0.148, 0.750, 0.263)
Se (0.352, 0.250, 0.763)
Se (0.387, 0.250, 0.375)
Se (0.395, 0.750, 0.071)
Se (0.605, 0.250, 0.929)
Se (0.613, 0.750, 0.625)
Se (0.648, 0.750, 0.237)
Se (0.852, 0.250, 0.737)
Se (0.887, 0.250, 0.125)
Se (0.895, 0.750, 0.429)

Summary:
The value obtained for the volume is 163.47 Å³/f.u. The value obtained for the total energy is -0.2851 Ry per atom.

The following is a DFT calculation (PBE) of an optimized crystal structure of Er3Tm5.

Cell lengths 5.511, 7.110, 7.110 Å; angles 60.00, 90.00, 90.00 degrees
Element x y z (fractional)
Er (0.000, 0.000, 0.000)
Er (0.000, 0.500, 0.500)
Er (0.500, 0.333, 0.333)
Tm (0.000, 0.500, 0.999)
Tm (0.000, 0.999, 0.500)
Tm (0.500, 0.334, 0.833)
Tm (0.500, 0.833, 0.334)
Tm (0.500, 0.833, 0.833)

Summary:
The value obtained for the formation energy is 0 meV per atom. The value obtained for the volume is 241.25 Å³/f.u.

The following is a DFT calculation (PBE) of an optimized crystal structure of TmFeSi2Pd.

Cell lengths 5.694, 5.694, 5.694 Å; angles 139.19, 139.19, 59.09 degrees
Element x y z (fractional)
Tm (0.000, 0.000, 0.000)
Fe (0.250, 0.750, 0.500)
Si (0.380, 0.380, 0.000)
Si (0.620, 0.620, 0.000)
Pd (0.750, 0.250, 0.500)

Summary:
The value obtained for the volume is 78.08 Å³/f.u. The value obtained for the total energy is -0.4793 Ry per atom.

The following is a DFT calculation (PBE) of an optimized crystal structure of CuBi5Os3.

Cell lengths 5.737, 5.737, 8.213 Å; angles 90.00, 90.00, 120.00 degrees
Element x y z (fractional)
Cu (0.000, 0.000, 0.000)
Bi (0.000, 0.000, 0.500)
Bi (0.333, 0.667, 0.219)
Bi (0.333, 0.667, 0.781)
Bi (0.667, 0.333, 0.219)
Bi (0.667, 0.333, 0.781)
Os (0.000, 0.500, 0.500)
Os (0.500, 0.000, 0.500)
Os (0.500, 0.500, 0.500)

Summary:
The value obtained for the volume is 234.10 Å³/f.u. The value obtained for the total energy is -0.4187 Ry per atom.

The following is a DFT calculation (PBE) of an optimized crystal structure of LuBeCoGe.

Cell lengths 4.295, 4.295, 4.295 Å; angles 60.00, 60.00, 60.00 degrees
Element x y z (fractional)
Lu (0.000, 0.000, 0.000)
Be (0.750, 0.750, 0.750)
Co (0.250, 0.250, 0.250)
Ge (0.500, 0.500, 0.500)

Summary:
The value obtained for the volume is 56.04 Å³/f.u. The value obtained for the total energy is -0.3784 Ry per atom.

The following is a DFT calculation (PBE) of an optimized crystal structure of SrMgNiPb.

Cell lengths 5.152, 5.152, 5.152 Å; angles 60.00, 60.00, 60.00 degrees
Element x y z (fractional)
Sr (0.000, 0.000, 0.000)
Mg (0.500, 0.500, 0.500)
Ni (0.250, 0.250, 0.250)
Pb (0.750, 0.750, 0.750)

Summary:
The value obtained for the volume is 96.72 Å³/f.u. The value obtained for the total energy is -0.2277 Ry per atom.

The following is a DFT calculation (PBE) of an optimized crystal structure of LaNdI4.

Cell lengths 3.914, 3.914, 15.019 Å; angles 90.00, 90.00, 90.00 degrees
Element x y z (fractional)
La (0.000, 0.000, 0.000)
Nd (0.500, 0.500, 0.500)
I (0.000, 0.000, 0.375)
I (0.000, 0.000, 0.625)
I (0.500, 0.500, 0.127)
I (0.500, 0.500, 0.873)

Summary:
The value obtained for the volume is 230.05 Å³/f.u. The value obtained for the total energy is -0.2939 Ry per atom.

The following is a DFT calculation (PBE) of an optimized crystal structure of RbCo3Ge5.

Cell lengths 4.923, 4.923, 8.622 Å; angles 90.00, 90.00, 120.00 degrees
Element x y z (fractional)
Rb (0.000, 0.000, 0.000)
Co (0.000, 0.500, 0.500)
Co (0.500, 0.000, 0.500)
Co (0.500, 0.500, 0.500)
Ge (0.000, 0.000, 0.500)
Ge (0.333, 0.667, 0.271)
Ge (0.333, 0.667, 0.729)
Ge (0.667, 0.333, 0.271)
Ge (0.667, 0.333, 0.729)

Summary:
The value obtained for the volume is 180.95 Å³/f.u. The value obtained for the total energy is -0.3795 Ry per atom.

The following is a DFT calculation (PBE) of an optimized crystal structure of PrCdPd.

Cell lengths 7.718, 7.718, 4.107 Å; angles 90.00, 90.00, 120.00 degrees
Element x y z (fractional)
Pr (0.000, 0.592, 0.000)
Pr (0.408, 0.408, 0.000)
Pr (0.592, 0.000, 0.000)
Cd (0.000, 0.250, 0.500)
Cd (0.250, 0.000, 0.500)
Cd (0.750, 0.750, 0.500)
Pd (0.000, 0.000, 0.000)
Pd (0.333, 0.667, 0.500)
Pd (0.667, 0.333, 0.500)

Summary:
The value obtained for the formation energy is -674 meV per atom. The value obtained for the volume is 70.61 Å³/f.u.